Below is Nb3CoP after structural relaxation, with properties calculated at the GGA-PBEsol level. Values from VASP.

Output
DFT formation energy   3.79 eV per formula unit

Cell and atoms, written as Quantum ESPRESSO input:
```
&SYSTEM
  ibrav = 0, nat = 5, ntyp = 3
/
ATOMIC_SPECIES
P 30.97 P.upf
Nb 92.91 Nb.upf
Co 58.93 Co.upf
ATOMIC_POSITIONS angstrom
P -2.2912 -3.1109 0.5533
Nb 0.7057 -2.0334 0.6673
Nb -1.7094 -0.1129 1.4639
Nb -1.2876 -0.9646 -1.5778
Co 0.0000 0.0000 0.0000
CELL_PARAMETERS angstrom
-2.5751 -1.9293 -3.1557
1.4115 -4.0668 1.3345
-3.4188 -0.2258 2.9279
```


Below is ZrSbW after structural relaxation, with properties calculated at the GGA-PBEsol level. Values from VASP.

Output
Polymorph energy (0 for the lowest one)   0.000 eV per atom
Formation energy without anion corrections   0.185 eV/atom

Cell and atoms, written as Quantum ESPRESSO input:
```
&SYSTEM
  ibrav = 0, nat = 3, ntyp = 3
/
ATOMIC_SPECIES
Sb 121.76 Sb.upf
W 183.84 W.upf
Zr 91.22 Zr.upf
ATOMIC_POSITIONS angstrom
Sb -0.0350 -0.0558 0.0170
W -2.5691 -1.1444 -0.2581
Zr -2.2292 -3.5552 1.0822
CELL_PARAMETERS angstrom
-2.1413 1.7495 1.3364
-0.7377 -0.4352 -2.9493
-1.9542 -6.0697 2.4540
```


Below is La3Ge3Cl2 after structural relaxation, with properties calculated at the GGA-PBEsol level. Values from VASP.

Output
Formation energy without anion corrections   -1.406 eV/atom

Cell and atoms, written as Quantum ESPRESSO input:
```
&SYSTEM
  ibrav = 0, nat = 16, ntyp = 3
/
ATOMIC_SPECIES
La 138.91 La.upf
Ge 72.64 Ge.upf
Cl 35.45 Cl.upf
ATOMIC_POSITIONS angstrom
La 1.0909 -1.7773 3.4776
La -5.6791 1.0952 6.9904
La 2.1296 1.2092 7.7227
La -1.1351 2.6342 9.5830
La 5.6349 -0.2383 6.0702
La -2.1738 -0.3523 5.3379
Ge 3.7243 -1.4311 8.2260
Ge 0.4407 -0.0267 9.9769
Ge -0.4849 0.8835 3.0837
Ge -0.7690 0.8230 12.0104
Ge -3.7684 2.2880 4.8346
Ge 0.7248 0.0338 1.0502
Cl 0.7311 -1.0140 6.2159
Cl 3.4791 -0.0820 4.0202
Cl -3.5233 0.9388 9.0404
Cl -0.7753 1.8708 6.8447
CELL_PARAMETERS angstrom
-1.1939 -3.9782 0.9521
7.8290 1.0504 4.6703
-6.6793 3.7847 7.4382
```


Below is MnRh2Br after structural relaxation, with properties calculated at the GGA-PBEsol level. Values from VASP.

Output
Polymorph energy (0 for the lowest one)   0.085 eV per atom
Formation energy without anion corrections   0.447 eV/atom

Cell and atoms, written as Quantum ESPRESSO input:
```
&SYSTEM
  ibrav = 0, nat = 4, ntyp = 3
/
ATOMIC_SPECIES
Br 79.90 Br.upf
Mn 54.94 Mn.upf
Rh 102.91 Rh.upf
ATOMIC_POSITIONS angstrom
Br 1.4594 0.0000 0.0000
Mn 0.0000 2.3349 0.0000
Rh 1.4594 2.3349 2.1922
Rh 0.0000 0.0000 2.1670
CELL_PARAMETERS angstrom
2.9187 0.0000 0.0000
0.0000 4.6697 0.0000
-1.4594 -2.3349 4.3592
```


Below is BaHfZn2I after structural relaxation, with properties calculated at the GGA-PBEsol level. Values from VASP.

Output
Formation energy without anion corrections   1.125 eV/atom

Cell and atoms, written as Quantum ESPRESSO input:
```
&SYSTEM
  ibrav = 0, nat = 5, ntyp = 4
/
ATOMIC_SPECIES
I 126.90 I.upf
Zn 65.41 Zn.upf
Hf 178.49 Hf.upf
Ba 137.33 Ba.upf
ATOMIC_POSITIONS angstrom
I 0.0000 0.0000 0.0000
Zn 0.0000 2.6220 0.0000
Zn 2.6220 0.0000 0.0000
Hf 2.6220 2.6220 3.0840
Ba 0.0000 0.0000 3.0840
CELL_PARAMETERS angstrom
5.2440 0.0000 0.0000
0.0000 5.2440 0.0000
0.0000 0.0000 6.1681
```


Below is ZnInMo2 after structural relaxation, with properties calculated at the GGA-PBEsol level. Values from VASP.

Output
Polymorph energy (0 for the lowest one)   0.000 eV per atom
DFT formation energy   0.86 eV per formula unit

Cell and atoms, written as Quantum ESPRESSO input:
```
&SYSTEM
  ibrav = 0, nat = 4, ntyp = 3
/
ATOMIC_SPECIES
In 114.82 In.upf
Mo 95.94 Mo.upf
Zn 65.41 Zn.upf
ATOMIC_POSITIONS angstrom
In 3.9102 0.5661 2.2349
Mo -1.0019 0.0457 2.4336
Mo 1.3603 -0.9908 2.8065
Zn 1.4992 1.4909 1.5976
CELL_PARAMETERS angstrom
-1.1354 -0.0093 2.5526
2.4052 -3.5511 1.0569
4.1341 3.1243 1.0895
```